A plane-wave DFT calculation with GGA+U was carried out for BaSrGdCrO6 after structural relaxation.

Calculated total energy: -7.92 eV/atom
Calculated density: 6.136 Mg/m³
N(E_F): 3.83 states/eV/f.u.

POSCAR file:
```
BaSrGdCrO6
1.0
0.0000 4.1552 4.1552
4.1552 0.0000 4.1552
4.1552 4.1552 0.0000
Ba Sr Gd Cr O
1 1 1 1 6
Cartesian
0.0000 0.0000 0.0000 Ba
4.1552 4.1552 4.1552 Sr
6.2328 6.2328 6.2328 Gd
2.0776 2.0776 2.0776 Cr
2.0776 2.0776 0.1752 O
2.0776 0.1752 2.0776 O
3.9800 2.0776 2.0776 O
0.1752 2.0776 2.0776 O
2.0776 3.9800 2.0776 O
2.0776 2.0776 3.9800 O
```